[1]
{"formula": "U3Tl2Se8", "functional": "PBE", "state": "optimized geometry", "dft_energy_ev_per_cell": -78.53, "space_group": "C2/m (12)", "e_form_raw_kj_per_mol_atoms": -89, "lattice_angstrom": [[-5.125, -4.712, -1.807], [4.070, -6.025, 4.170], [-4.104, 6.308, 4.695]], "species": ["Se", "Se", "Se", "U", "Se", "Se", "Se", "Se", "Se", "Tl", "U", "U", "Tl"], "fractional_positions": [[0.389, 0.331, 0.202], [0.098, 0.900, 0.799], [0.946, 0.606, 0.212], [0.500, 0.000, 0.000], [0.611, 0.669, 0.798], [0.054, 0.394, 0.788], [0.611, 0.129, 0.798], [0.389, 0.871, 0.202], [0.902, 0.100, 0.201], [0.661, 0.737, 0.474], [0.000, 0.256, 0.000], [0.000, 0.744, 0.000], [0.339, 0.263, 0.526]]}

***

[2]
{"formula": "UTlSe", "functional": "PBE", "state": "optimized geometry", "dft_energy_ev_per_cell": -36.15, "space_group": "Cmcm (63)", "e_form_raw_kj_per_mol_atoms": -30, "polymorph_energy_mev_per_atom": 0, "lattice_angstrom": [[-1.686, -0.888, -4.368], [-0.097, -3.811, 0.812], [-8.260, -1.059, 3.403]], "species": ["U", "Se", "Tl", "U", "Se", "Tl"], "fractional_positions": [[0.250, 0.740, 0.519], [0.750, 0.635, 0.729], [0.750, 0.929, 0.143], [0.750, 0.260, 0.481], [0.250, 0.365, 0.271], [0.250, 0.071, 0.857]]}

***

[3]
{"formula": "UTl3Se5", "functional": "PBE", "state": "optimized geometry", "dft_energy_ev_per_cell": -80.25, "space_group": "P6_3/mcm (193)", "e_form_raw_kj_per_mol_atoms": -46, "lattice_angstrom": [[-4.052, -3.204, 3.778], [6.594, -7.124, 1.030], [-0.101, 7.498, 6.251]], "species": ["Se", "Se", "Tl", "U", "Tl", "Se", "U", "Se", "Tl", "Tl", "Se", "Se", "Se", "Tl", "Tl", "Se", "Se", "Se"], "fractional_positions": [[0.750, 0.000, 0.771], [0.500, 0.667, 0.333], [0.750, 0.410, 0.000], [0.000, 0.000, 0.000], [0.250, 0.000, 0.590], [0.750, 0.771, 0.000], [0.500, 0.000, 0.000], [0.750, 0.229, 0.229], [0.750, 0.590, 0.590], [0.250, 0.410, 0.410], [0.250, 0.229, 0.000], [0.250, 0.771, 0.771], [0.000, 0.333, 0.667], [0.750, 0.000, 0.410], [0.250, 0.590, 0.000], [0.000, 0.667, 0.333], [0.250, 0.000, 0.229], [0.500, 0.333, 0.667]]}

***

[4]
{"formula": "U3Tl5Se12", "functional": "PBE", "state": "optimized geometry", "dft_energy_ev_per_cell": -389.38, "space_group": "Ia-3d (230)", "e_form_raw_kj_per_mol_atoms": -47, "lattice_angstrom": [[-1.982, -3.456, -14.021], [0.291, -12.174, 8.011], [-10.941, 8.517, 4.498]], "species": ["Tl", "Tl", "Se", "Se", "Se", "Tl", "Tl", "Se", "Se", "Se", "Se", "Se", "Se", "Se", "Se", "Tl", "Se", "Se", "Se", "U", "Se", "Se", "Se", "Se", "Se", "Tl", "Se", "Se", "Se", "Se", "Tl", "Tl", "Se", "U", "U", "Tl", "U", "Se", "Tl", "Se", "Tl", "Se", "Se", "Tl", "Se", "Se", "Se", "Tl", "Tl", "Se", "U", "Se", "U", "Se", "U", "Se", "Se", "Tl", "Se", "Se", "U", "Tl", "Se", "Se", "Se", "U", "U", "U", "Tl", "Se", "Se", "Se", "Tl", "Se", "Se", "Se", "Tl", "Se", "U", "Tl"], "fractional_positions": [[0.750, 0.125, 0.875], [0.750, 0.625, 0.375], [0.442, 0.771, 0.857], [0.329, 0.558, 0.416], [0.942, 0.584, 0.171], [0.500, 0.500, 0.500], [0.625, 0.875, 0.250], [0.942, 0.357, 0.271], [0.916, 0.829, 0.558], [0.729, 0.586, 0.171], [0.357, 0.942, 0.771], [0.829, 0.914, 0.271], [0.171, 0.084, 0.942], [0.086, 0.916, 0.357], [0.086, 0.171, 0.229], [0.625, 0.750, 0.875], [0.414, 0.271, 0.329], [0.829, 0.916, 0.058], [0.414, 0.143, 0.584], [0.125, 0.875, 0.750], [0.771, 0.442, 0.357], [0.058, 0.643, 0.729], [0.643, 0.058, 0.229], [0.271, 0.414, 0.829], [0.916, 0.086, 0.857], [0.875, 0.250, 0.625], [0.857, 0.271, 0.442], [0.584, 0.942, 0.671], [0.442, 0.671, 0.084], [0.586, 0.857, 0.416], [0.000, 0.500, 0.000], [0.125, 0.750, 0.375], [0.671, 0.442, 0.584], [0.375, 0.625, 0.250], [0.625, 0.375, 0.750], [0.000, 0.000, 0.500], [0.625, 0.250, 0.375], [0.058, 0.416, 0.829], [0.375, 0.250, 0.125], [0.084, 0.914, 0.143], [0.500, 0.000, 0.000], [0.643, 0.584, 0.914], [0.143, 0.414, 0.084], [0.000, 0.500, 0.500], [0.558, 0.229, 0.143], [0.357, 0.416, 0.086], [0.271, 0.857, 0.942], [0.250, 0.375, 0.625], [0.500, 0.500, 0.000], [0.084, 0.171, 0.442], [0.875, 0.125, 0.250], [0.729, 0.143, 0.058], [0.875, 0.750, 0.125], [0.914, 0.084, 0.643], [0.750, 0.375, 0.125], [0.857, 0.586, 0.916], [0.584, 0.643, 0.414], [0.000, 0.000, 0.000], [0.416, 0.058, 0.329], [0.171, 0.086, 0.729], [0.250, 0.125, 0.375], [0.500, 0.000, 0.500], [0.771, 0.329, 0.914], [0.229, 0.671, 0.086], [0.229, 0.558, 0.643], [0.125, 0.250, 0.875], [0.250, 0.625, 0.875], [0.375, 0.750, 0.625], [0.125, 0.375, 0.250], [0.416, 0.357, 0.586], [0.558, 0.329, 0.916], [0.143, 0.729, 0.558], [0.250, 0.875, 0.125], [0.914, 0.829, 0.771], [0.671, 0.229, 0.586], [0.329, 0.771, 0.414], [0.875, 0.625, 0.750], [0.586, 0.729, 0.671], [0.750, 0.875, 0.625], [0.375, 0.125, 0.750]]}

***

[5]
{"formula": "U6TlSe8", "functional": "PBE", "state": "optimized geometry", "dft_energy_ev_per_cell": -110.93, "space_group": "R-3 (148)", "e_form_raw_kj_per_mol_atoms": -83, "lattice_angstrom": [[7.425, 1.399, 1.445], [1.167, 7.465, 1.445], [1.167, 1.204, 7.508]], "species": ["U", "U", "Se", "U", "U", "U", "Se", "U", "Tl", "Se", "Se", "Se", "Se", "Se", "Se"], "fractional_positions": [[0.933, 0.566, 0.291], [0.291, 0.933, 0.566], [0.401, 0.104, 0.791], [0.566, 0.291, 0.933], [0.067, 0.434, 0.709], [0.709, 0.067, 0.434], [0.896, 0.209, 0.599], [0.434, 0.709, 0.067], [0.000, 0.000, 0.000], [0.333, 0.333, 0.333], [0.209, 0.599, 0.896], [0.791, 0.401, 0.104], [0.599, 0.896, 0.209], [0.104, 0.791, 0.401], [0.667, 0.667, 0.667]]}

***

[6]
{"formula": "U2TlSe4", "functional": "PBE", "state": "optimized geometry", "dft_energy_ev_per_cell": -91.06, "space_group": "I4_1/amd (141)", "e_form_raw_kj_per_mol_atoms": -92, "polymorph_energy_mev_per_atom": 0, "lattice_angstrom": [[-5.240, 6.674, 2.103], [-7.010, -5.056, -1.325], [6.268, -2.568, 5.547]], "species": ["Se", "Se", "U", "Se", "Se", "Se", "Se", "U", "Se", "U", "Se", "Tl", "U", "Tl"], "fractional_positions": [[0.857, 0.572, 0.714], [0.822, 0.607, 0.214], [0.625, 0.375, 0.750], [0.392, 0.608, 0.214], [0.392, 0.608, 0.786], [0.858, 0.142, 0.714], [0.393, 0.178, 0.786], [0.625, 0.375, 0.250], [0.428, 0.143, 0.286], [0.125, 0.375, 0.750], [0.858, 0.142, 0.286], [0.250, 0.750, 0.500], [0.625, 0.875, 0.250], [0.000, 0.000, 0.000]]}

***

[7]
{"formula": "U2Tl2VSe6", "functional": "PBE", "state": "optimized geometry", "dft_energy_ev_per_cell": -66.87, "space_group": "C2/m (12)", "e_form_raw_kj_per_mol_atoms": -84, "lattice_angstrom": [[6.865, 0.001, 0.041], [-3.392, 5.968, 0.041], [-1.256, -2.160, 7.922]], "species": ["Se", "Se", "V", "Tl", "U", "Se", "Tl", "U", "Se", "Se", "Se"], "fractional_positions": [[0.758, 0.758, 0.698], [0.616, 0.929, 0.302], [0.000, 0.000, 0.500], [0.827, 0.173, 0.000], [0.666, 0.334, 0.500], [0.384, 0.071, 0.698], [0.173, 0.827, 0.000], [0.334, 0.666, 0.500], [0.242, 0.242, 0.302], [0.071, 0.384, 0.698], [0.929, 0.616, 0.302]]}

***

[8]
{"formula": "U2Tl3VSe6", "functional": "PBE", "state": "optimized geometry", "dft_energy_ev_per_cell": -69.10, "space_group": "C2/m (12)", "e_form_raw_kj_per_mol_atoms": -76, "lattice_angstrom": [[-5.606, -4.059, 0.731], [6.249, -2.870, -1.068], [1.001, 2.053, 7.957]], "species": ["V", "Tl", "Se", "U", "Tl", "Se", "Se", "Se", "Tl", "U", "Se", "Se"], "fractional_positions": [[0.000, 0.000, 0.000], [0.173, 0.827, 0.500], [0.621, 0.935, 0.803], [0.335, 0.665, 0.000], [0.500, 0.500, 0.500], [0.065, 0.379, 0.197], [0.755, 0.755, 0.202], [0.245, 0.245, 0.798], [0.827, 0.173, 0.500], [0.665, 0.335, 0.000], [0.379, 0.065, 0.197], [0.935, 0.621, 0.803]]}

***

[9]
{"formula": "U3Tl3VSe8", "functional": "PBE", "state": "optimized geometry", "dft_energy_ev_per_cell": -91.04, "space_group": "R-3m (166)", "e_form_raw_kj_per_mol_atoms": -84, "lattice_angstrom": [[-4.343, 4.809, -4.750], [-3.531, -3.903, 6.070], [5.328, 7.184, 2.403]], "species": ["Tl", "Tl", "Tl", "Se", "Se", "Se", "Se", "V", "U", "U", "Se", "Se", "Se", "Se", "U"], "fractional_positions": [[0.500, 0.500, 0.000], [0.000, 0.500, 0.000], [0.000, 0.000, 0.000], [0.778, 0.027, 0.305], [0.263, 0.526, 0.290], [0.737, 0.474, 0.710], [0.751, 0.973, 0.695], [0.000, 0.000, 0.500], [0.500, 0.500, 0.500], [0.000, 0.500, 0.500], [0.778, 0.556, 0.305], [0.222, 0.973, 0.695], [0.222, 0.444, 0.695], [0.249, 0.027, 0.305], [0.500, 0.000, 0.500]]}

***

[10]
{"formula": "U3Tl4VSe8", "functional": "PBE", "state": "optimized geometry", "dft_energy_ev_per_cell": -93.19, "space_group": "R-3m (166)", "e_form_raw_kj_per_mol_atoms": -78, "lattice_angstrom": [[-0.393, 2.036, 7.837], [8.434, -3.458, 1.322], [-0.658, 5.715, -5.711]], "species": ["Se", "Tl", "Se", "Se", "U", "Se", "Se", "U", "V", "Se", "U", "Tl", "Tl", "Se", "Tl", "Se"], "fractional_positions": [[0.224, 0.699, 0.449], [0.500, 0.000, 0.500], [0.250, 0.302, 0.026], [0.263, 0.289, 0.526], [0.500, 0.500, 0.500], [0.776, 0.301, 0.551], [0.224, 0.698, 0.974], [0.500, 0.500, 0.000], [0.000, 0.500, 0.000], [0.750, 0.698, 0.974], [0.000, 0.500, 0.500], [0.500, 0.000, 0.000], [0.000, 0.000, 0.500], [0.737, 0.711, 0.474], [0.000, 0.000, 0.000], [0.776, 0.302, 0.026]]}

***

[11]
{"formula": "Y3UTl4Se8", "functional": "PBE", "state": "optimized geometry", "dft_energy_ev_per_cell": -88.08, "space_group": "R-3m (166)", "e_form_raw_kj_per_mol_atoms": -121, "lattice_angstrom": [[-1.645, -8.221, 0.002], [8.856, -1.772, -1.603], [-1.820, 4.641, 6.741]], "species": ["Y", "Tl", "Se", "U", "Se", "Se", "Se", "Tl", "Y", "Tl", "Se", "Tl", "Se", "Se", "Y", "Se"], "fractional_positions": [[0.500, 0.500, 0.000], [0.500, 0.000, 0.500], [0.764, 0.295, 0.529], [0.000, 0.500, 0.000], [0.764, 0.295, 0.030], [0.265, 0.296, 0.531], [0.236, 0.705, 0.471], [0.500, 0.000, 0.000], [0.000, 0.500, 0.500], [0.000, 0.000, 0.500], [0.735, 0.704, 0.469], [0.000, 0.000, 0.000], [0.734, 0.705, 0.970], [0.236, 0.705, 0.970], [0.500, 0.500, 0.500], [0.266, 0.295, 0.030]]}

***

[12]
{"formula": "YU2Tl3Se6", "functional": "PBE", "state": "optimized geometry", "dft_energy_ev_per_cell": -69.52, "space_group": "C2/m (12)", "e_form_raw_kj_per_mol_atoms": -100, "lattice_angstrom": [[-6.388, 0.130, 3.410], [0.829, -3.994, -5.984], [4.071, -4.831, 5.249]], "species": ["Se", "Tl", "Tl", "Se", "Se", "Se", "U", "Se", "U", "Se", "Tl", "Y"], "fractional_positions": [[0.598, 0.932, 0.795], [0.167, 0.833, 0.500], [0.833, 0.167, 0.500], [0.932, 0.598, 0.795], [0.265, 0.265, 0.795], [0.735, 0.735, 0.205], [0.667, 0.333, 0.000], [0.068, 0.402, 0.205], [0.333, 0.667, 0.000], [0.402, 0.068, 0.205], [0.500, 0.500, 0.500], [0.000, 0.000, 0.000]]}

***

[13]
{"formula": "YUTl2Se4", "functional": "PBE", "state": "optimized geometry", "dft_energy_ev_per_cell": -45.39, "space_group": "P2/m (10)", "e_form_raw_kj_per_mol_atoms": -108, "lattice_angstrom": [[-0.796, 2.927, -2.889], [-0.881, -5.177, -5.002], [-7.330, 1.353, 3.390]], "species": ["Tl", "Se", "U", "Se", "Y", "Se", "Se", "Tl"], "fractional_positions": [[0.000, 0.500, 0.500], [0.000, 0.265, 0.794], [0.500, 0.500, 0.000], [0.000, 0.735, 0.206], [0.000, 0.000, 0.000], [0.500, 0.234, 0.205], [0.500, 0.766, 0.795], [0.500, 0.000, 0.500]]}

***

[14]
{"formula": "Y3UTl3Se8", "functional": "PBE", "state": "optimized geometry", "dft_energy_ev_per_cell": -85.81, "space_group": "R-3m (166)", "e_form_raw_kj_per_mol_atoms": -130, "lattice_angstrom": [[8.327, 0.000, 0.000], [-4.164, 7.210, -0.032], [0.000, -4.777, 7.853]], "species": ["Se", "Y", "Se", "Tl", "Tl", "Y", "Se", "U", "Se", "Se", "Se", "Y", "Se", "Se", "Tl"], "fractional_positions": [[0.265, 0.530, 0.296], [0.500, 0.000, 0.500], [0.735, 0.470, 0.704], [0.000, 0.000, 0.000], [0.000, 0.500, 0.000], [0.500, 0.500, 0.500], [0.738, 0.970, 0.701], [0.000, 0.000, 0.500], [0.262, 0.030, 0.299], [0.768, 0.030, 0.299], [0.232, 0.464, 0.701], [0.000, 0.500, 0.500], [0.768, 0.536, 0.299], [0.232, 0.970, 0.701], [0.500, 0.500, 0.000]]}

***

[15]
{"formula": "Y2UTl3Se6", "functional": "PBE", "state": "optimized geometry", "dft_energy_ev_per_cell": -66.68, "space_group": "C2/m (12)", "e_form_raw_kj_per_mol_atoms": -116, "lattice_angstrom": [[7.270, 0.004, 0.002], [-3.630, 6.299, 0.002], [-1.212, -2.098, 7.796]], "species": ["Se", "Se", "Y", "Se", "Se", "Y", "Tl", "Tl", "U", "Se", "Se", "Tl"], "fractional_positions": [[0.403, 0.068, 0.205], [0.266, 0.266, 0.796], [0.333, 0.667, 0.000], [0.734, 0.734, 0.204], [0.068, 0.403, 0.205], [0.667, 0.333, 0.000], [0.167, 0.833, 0.500], [0.500, 0.500, 0.500], [0.000, 0.000, 0.000], [0.597, 0.932, 0.795], [0.932, 0.597, 0.795], [0.833, 0.167, 0.500]]}

***

[16]
{"formula": "UTl2ZnSe5", "functional": "PBE", "state": "optimized geometry", "dft_energy_ev_per_cell": -81.67, "space_group": "Cmc2_1 (36)", "e_form_raw_kj_per_mol_atoms": -66, "lattice_angstrom": [[4.129, 0.000, 0.000], [-2.064, 9.304, 0.000], [0.000, 0.000, 13.874]], "species": ["Tl", "Tl", "Se", "Se", "Se", "U", "Zn", "Se", "Se", "Se", "Zn", "Se", "Tl", "Se", "Se", "Tl", "Se", "U"], "fractional_positions": [[0.899, 0.799, 0.174], [0.101, 0.201, 0.674], [0.504, 0.008, 0.780], [0.711, 0.423, 0.155], [0.943, 0.885, 0.534], [0.204, 0.409, 0.025], [0.432, 0.863, 0.429], [0.496, 0.992, 0.280], [0.345, 0.689, 0.008], [0.655, 0.311, 0.508], [0.568, 0.137, 0.929], [0.057, 0.115, 0.034], [0.112, 0.223, 0.329], [0.289, 0.577, 0.655], [0.298, 0.595, 0.390], [0.888, 0.777, 0.829], [0.702, 0.405, 0.890], [0.796, 0.591, 0.525]]}

***

[17]
{"formula": "U2Tl2ZnSe6", "functional": "PBE", "state": "optimized geometry", "dft_energy_ev_per_cell": -58.47, "space_group": "C2/m (12)", "e_form_raw_kj_per_mol_atoms": -79, "lattice_angstrom": [[-4.216, -5.570, -1.702], [4.489, -0.145, 5.615], [-5.789, 4.771, 3.350]], "species": ["Se", "Zn", "Se", "Se", "U", "Tl", "Tl", "Se", "Se", "Se", "U"], "fractional_positions": [[0.762, 0.762, 0.678], [0.000, 0.000, 0.500], [0.063, 0.416, 0.707], [0.584, 0.937, 0.293], [0.333, 0.667, 0.500], [0.163, 0.837, 0.000], [0.837, 0.163, 0.000], [0.937, 0.584, 0.293], [0.416, 0.063, 0.707], [0.238, 0.238, 0.322], [0.667, 0.333, 0.500]]}